Compound: Na2Pa2ReN6
Source: the Alexandria database
Functional: PBE-GGA
Structure: relaxed

The space group is C2/m (No. 12) and the conventional cell measures 5.885, 10.052 and 6.001 Å, with angles of 90.00, 104.85 and 90.00 degrees. The distinct sites, in fractional coordinates, are Na at (0.000, 0.149, 0.000), Pa at (0.000, 0.335, 0.500), Re at (0.000, 0.000, 0.500), N at (0.199, 0.157, 0.676) and N at (0.248, 0.000, 0.319).

The calculated density comes out at 7.53 g cm⁻³. Its density of states at the Fermi level is 0.38 states/eV/atom. The calculation puts the formation energy (no corrections) at -756 meV/atom. As for the total magnetization: 0.01 μB/f.u. The energy is -8.39 eV per atom.